First-principles (PBE-GGA) data for an optimized crystal structure of CaLa8Pr6, as listed in Alexandria.

Lattice parameters (Å, degrees): 10.0719 10.0719 18.7644 90.00 90.00 120.00
Space group R-3 (No. 148, hexagonal axes)
Inequivalent atoms, fractional coordinates:
Ca1 0.0000 0.0000 0.0000 x3
La1 0.0000 0.0000 0.2323 x6
La2 0.0466 0.6200 0.5670 x18
Pr1 0.0216 0.7869 0.4058 x18

crystal system	trigonal
DFT formation energy	0.122	eV/atom
M_tot	0.00	μB/atom
DFT total energy	-68.3	eV per formula unit

***

First-principles (PBE-GGA) data for an optimized crystal structure of Gd2TiAl, as listed in Alexandria.

Lattice parameters (Å, degrees): 3.2735 3.2735 32.7402 90.00 90.00 120.00
Space group R-3m (No. 166, hexagonal axes)
Inequivalent atoms, fractional coordinates:
Gd1 0.0000 0.0000 0.0910 x6
Ti1 0.0000 0.0000 0.0000 x3
Al1 0.0000 0.0000 0.5000 x3

crystal system	trigonal
DFT formation energy	0.325	eV/atom
M_tot	4.13	μB/atom
DFT total energy	-38.5	eV per formula unit

***

The highest M_tot belongs to which entry? Gd2TiAl

***

What is the DFT total energy in the second record? -38.5 eV per formula unit